## AcMgIn2 (PBE-GGA)

Data for an optimized crystal structure of AcMgIn2.

Properties
energy relative to the elements	-0.313	eV/atom
density of states at the Fermi level	4.11	states/eV per cell
crystal system	hexagonal
space group	P6_3/mmc
M_tot	0.00	Bohr magnetons per cell
volume	242.0	Å³ per cell

a b c (Å): 4.883 4.883 11.721
angles (deg): 90.00 90.00 120.00
Atoms (fractional coordinates):
In  0.667  0.333  0.422
In  0.333  0.667  0.578
In  0.667  0.333  0.078
In  0.333  0.667  0.922
Ac  0.333  0.667  0.250
Ac  0.667  0.333  0.750
Mg  0.000  0.000  0.500
Mg  0.000  0.000  0.000



## Rb6Er3I14 (PBE-GGA)

Data for an optimized crystal structure of Rb6Er3I14.

Properties
density of states at the Fermi level	10.24	states/eV per cell
crystal system	trigonal
space group	P3
VASP energy	-3.15	eV/atom
M_tot	1.21	Bohr magnetons per cell
volume	1173.0	Å³ per cell

a b c (Å): 7.680 13.280 13.280
angles (deg): 120.00 90.00 90.00
Site moments in Bohr magnetons follow the coordinates.
Atoms (fractional coordinates):
I  0.457  0.000  0.000  0.00
I  0.251  0.528  0.115  0.00
I  0.694  0.449  0.252  0.00
I  0.694  0.803  0.551  0.00
I  0.484  0.565  0.811  0.00
I  0.484  0.189  0.754  0.00
I  0.975  0.769  0.850  0.00
I  0.251  0.885  0.413  0.00
I  0.251  0.587  0.472  0.00
I  0.484  0.246  0.435  0.00
I  0.975  0.150  0.919  0.00
I  0.694  0.748  0.197  0.00
I  0.968  0.333  0.667  0.00
I  0.975  0.081  0.231  0.00
Er  0.470  0.667  0.333  0.17
Er  0.835  0.000  0.000  0.34
Er  0.346  0.333  0.667  0.29
Rb  0.254  0.898  0.699  0.00
Rb  0.764  0.025  0.467  0.00
Rb  0.254  0.301  0.200  0.00
Rb  0.764  0.533  0.558  0.00
Rb  0.254  0.800  0.102  0.00
Rb  0.764  0.442  0.975  0.00



## ReHgS2N (PBE-GGA)

Data for an optimized crystal structure of ReHgS2N.

Properties
energy relative to the lowest polymorph listed for this composition	2.1409	eV/atom
density of states at the Fermi level	7.62	states/eV per cell
crystal system	tetragonal
space group	P4/mmm
M_tot	0.00	Bohr magnetons per cell
volume	94.8	Å³ per cell

a b c (Å): 4.963 4.963 3.849
angles (deg): 90.00 90.00 90.00
Atoms (fractional coordinates):
S  0.000  0.500  0.000
S  0.500  0.000  0.000
Re  0.500  0.500  0.500
N  0.000  0.000  0.500
Hg  0.000  0.000  0.000



## LaDy5Bi6 (PBE-GGA)

Data for an optimized crystal structure of LaDy5Bi6.

Properties
energy relative to the elements	-0.886	eV/atom
density of states at the Fermi level	1.98	states/eV per cell
crystal system	monoclinic
space group	C2/m
M_tot	0.00	Bohr magnetons per cell
volume	391.1	Å³ per cell

a b c (Å): 7.825 7.825 7.826
angles (deg): 60.00 80.38 70.48
Atoms (fractional coordinates):
Dy  0.000  0.668  0.664
Dy  0.500  0.837  0.327
Dy  0.000  0.332  0.336
Dy  0.500  0.500  0.000
Dy  0.500  0.163  0.673
Bi  0.745  0.426  0.659
Bi  0.255  0.574  0.341
Bi  0.748  0.743  0.000
Bi  0.745  0.085  0.341
Bi  0.255  0.915  0.659
Bi  0.252  0.257  0.000
La  0.000  0.000  0.000



## Ac2Tb3Sm5 (PBE-GGA)

Data for an optimized crystal structure of Ac2Tb3Sm5.

Properties
energy relative to the elements	0.197	eV/atom
density of states at the Fermi level	32.42	states/eV per cell
crystal system	monoclinic
space group	C2/c
M_tot	0.00	Bohr magnetons per cell
volume	733.8	Å³ per cell

a b c (Å): 11.759 10.157 12.322
angles (deg): 133.53 135.73 54.57
Atoms (fractional coordinates):
Ac  0.859  0.860  0.717
Ac  0.359  0.858  0.717
Ac  0.141  0.140  0.283
Ac  0.641  0.142  0.283
Sm  0.465  0.715  0.431
Sm  0.535  0.285  0.569
Sm  0.780  0.566  0.749
Sm  0.250  0.500  0.999
Sm  0.968  0.718  0.436
Sm  0.470  0.184  0.749
Sm  0.750  0.500  0.001
Sm  0.032  0.282  0.564
Sm  0.530  0.816  0.251
Sm  0.220  0.434  0.251
Tb  0.247  0.997  0.995
Tb  0.753  0.003  0.005
Tb  0.967  0.185  0.746
Tb  0.279  0.560  0.746
Tb  0.033  0.815  0.254
Tb  0.721  0.440  0.254



## GaNi (PBE-GGA)

Data for an optimized crystal structure of GaNi.

Properties
energy relative to the elements	-0.121	eV/atom
density of states at the Fermi level	8.18	states/eV per cell
crystal system	tetragonal
space group	I4/m
M_tot	0.00	Bohr magnetons per cell
volume	247.4	Å³ per cell

a b c (Å): 8.462 8.462 3.456
angles (deg): 90.00 90.00 90.00
Atoms (fractional coordinates):
Ga  0.622  0.699  0.500
Ga  0.699  0.378  0.500
Ga  0.378  0.301  0.500
Ga  0.301  0.622  0.500
Ga  0.199  0.878  0.000
Ga  0.801  0.122  0.000
Ga  0.122  0.199  0.000
Ga  0.878  0.801  0.000
Ni  0.383  0.091  0.000
Ni  0.617  0.909  0.000
Ni  0.909  0.383  0.000
Ni  0.883  0.591  0.500
Ni  0.591  0.117  0.500
Ni  0.117  0.409  0.500
Ni  0.091  0.617  0.000
Ni  0.409  0.883  0.500



## Tl2ZnAuBr (PBE-GGA)

Data for an optimized crystal structure of Tl2ZnAuBr.

Properties
density of states at the Fermi level	2.10	states/eV per cell
crystal system	tetragonal
space group	P4/mmm
VASP energy	-2.43	eV/atom
M_tot	0.00	Bohr magnetons per cell
volume	160.9	Å³ per cell

a b c (Å): 5.691 5.691 4.969
angles (deg): 90.00 90.00 90.00
Atoms (fractional coordinates):
Au  0.000  0.000  0.000
Zn  0.000  0.000  0.500
Tl  0.500  0.000  0.000
Tl  0.000  0.500  0.000
Br  0.500  0.500  0.500



Please write out number 6 again, unchanged.
## GaNi (PBE-GGA)

Data for an optimized crystal structure of GaNi.

Properties
energy relative to the elements	-0.121	eV/atom
density of states at the Fermi level	8.18	states/eV per cell
crystal system	tetragonal
space group	I4/m
M_tot	0.00	Bohr magnetons per cell
volume	247.4	Å³ per cell

a b c (Å): 8.462 8.462 3.456
angles (deg): 90.00 90.00 90.00
Atoms (fractional coordinates):
Ga  0.622  0.699  0.500
Ga  0.699  0.378  0.500
Ga  0.378  0.301  0.500
Ga  0.301  0.622  0.500
Ga  0.199  0.878  0.000
Ga  0.801  0.122  0.000
Ga  0.122  0.199  0.000
Ga  0.878  0.801  0.000
Ni  0.383  0.091  0.000
Ni  0.617  0.909  0.000
Ni  0.909  0.383  0.000
Ni  0.883  0.591  0.500
Ni  0.591  0.117  0.500
Ni  0.117  0.409  0.500
Ni  0.091  0.617  0.000
Ni  0.409  0.883  0.500



The lowest volume belongs to which entry?
ReHgS2N



Look up the M_tot of the fifth one.
0.00 Bohr magnetons per cell



Number 3 is which compound?
ReHgS2N